Record 1
Material: Ta4CoAs
Method: DFT, PBE
State: optimized geometry

## Properties
Polymorph energy (0 for the lowest one), meV per atom: 0.0
Theoretical density, g cm⁻³: 14.5

Geometry as CIF:
```
data_Ta4CoAs
_chemical_formula_sum 'Ta8 Co2 As2'
_space_group_name_H-M_alt 'P 4/m c c'
_space_group_IT_number 124
_space_group_name_Hall '-P 4 2c'
_cell_length_a 6.236
_cell_length_b 6.236
_cell_length_c 5.065
_cell_angle_alpha 90.00
_cell_angle_beta 90.00
_cell_angle_gamma 90.00
loop_
_atom_site_label
_atom_site_type_symbol
_atom_site_fract_x
_atom_site_fract_y
_atom_site_fract_z
_atom_site_occupancy
Ta1 Ta 0.147 0.328 0.000 1
Co1 Co 0.000 0.000 0.250 1
As1 As 0.500 0.500 0.250 1
```

---

Record 2
Material: La5Sc
Method: DFT, PBE
State: optimized geometry

## Properties
Polymorph energy (0 for the lowest one), meV per atom: 21.6
Theoretical density, g cm⁻³: 5.9

Geometry as CIF:
```
data_La5Sc
_chemical_formula_sum 'La10 Sc2'
_space_group_name_H-M_alt 'C 1 m 1'
_space_group_IT_number 8
_cell_length_a 13.382
_cell_length_b 3.709
_cell_length_c 8.710
_cell_angle_alpha 90.00
_cell_angle_beta 104.30
_cell_angle_gamma 90.00
loop_
_space_group_symop_operation_xyz
'x,y,z'
'x,-y,z'
'x+1/2,y+1/2,z'
'x+1/2,-y+1/2,z'
loop_
_atom_site_label
_atom_site_type_symbol
_atom_site_fract_x
_atom_site_fract_y
_atom_site_fract_z
_atom_site_occupancy
La1 La 0.000 0.000 0.000 1
La2 La 0.049 0.000 0.621 1
La3 La 0.163 0.500 0.337 1
La4 La 0.320 0.000 0.683 1
La5 La 0.379 0.000 0.267 1
Sc1 Sc 0.215 0.500 0.951 1
```

---

Record 3
Material: RbNdS2
Method: DFT, PBE
State: optimized geometry

## Properties
Calculated total energy, eV per atom: -5.297
Theoretical density, g cm⁻³: 4.1

Geometry as CIF:
```
data_RbNdS2
_chemical_formula_sum 'Rb3 Nd3 S6'
_space_group_name_H-M_alt 'R 3 m'
_space_group_IT_number 160
_space_group_name_Hall 'R 3 -2"'
_cell_length_a 4.2043
_cell_length_b 4.2043
_cell_length_c 23.5635
_cell_angle_alpha 90.00
_cell_angle_beta 90.00
_cell_angle_gamma 120.00
loop_
_atom_site_label
_atom_site_type_symbol
_atom_site_fract_x
_atom_site_fract_y
_atom_site_fract_z
_atom_site_occupancy
Rb1 Rb 0.0000 0.0000 0.0000 1
Nd1 Nd 0.0000 0.0000 0.1695 1
S1 S 0.0000 0.0000 0.5684 1
S2 S 0.0000 0.0000 0.7709 1
```

---

Record 4
Material: SrSb2Rh
Method: DFT, PBE
State: optimized geometry

## Properties
Calculated total energy, eV per atom: -4.668
Theoretical density, g cm⁻³: 7.5

Geometry as CIF:
```
data_SrSb2Rh
_chemical_formula_sum 'Sr1 Sb2 Rh1'
_space_group_name_H-M_alt 'P 4/m m m'
_space_group_IT_number 123
_space_group_name_Hall '-P 4 2'
_cell_length_a 3.456
_cell_length_b 3.456
_cell_length_c 8.040
_cell_angle_alpha 90.00
_cell_angle_beta 90.00
_cell_angle_gamma 90.00
loop_
_atom_site_label
_atom_site_type_symbol
_atom_site_fract_x
_atom_site_fract_y
_atom_site_fract_z
_atom_site_occupancy
Sr1 Sr 0.000 0.000 0.000 1
Sb1 Sb 0.500 0.500 0.304 1
Rh1 Rh 0.000 0.000 0.500 1
```

---

Record 5
Material: InIrSe2
Method: DFT, PBE
State: optimized geometry

## Properties
Calculated total energy, eV per atom: -4.286
Theoretical density, g cm⁻³: 9.6

Geometry as CIF:
```
data_InIrSe2
_chemical_formula_sum 'In2 Ir2 Se4'
_space_group_name_H-M_alt 'C 1 2/m 1'
_space_group_IT_number 12
_cell_length_a 5.540
_cell_length_b 10.426
_cell_length_c 3.918
_cell_angle_alpha 90.00
_cell_angle_beta 134.83
_cell_angle_gamma 90.00
loop_
_space_group_symop_operation_xyz
'x,y,z'
'-x,-y,-z'
'-x,y,-z'
'x,-y,z'
'x+1/2,y+1/2,z'
'-x+1/2,-y+1/2,-z'
'-x+1/2,y+1/2,-z'
'x+1/2,-y+1/2,z'
loop_
_atom_site_label
_atom_site_type_symbol
_atom_site_fract_x
_atom_site_fract_y
_atom_site_fract_z
_atom_site_occupancy
In1 In 0.000 0.000 0.000 1
Ir1 Ir 0.000 0.500 0.000 1
Se1 Se 0.250 0.250 0.000 1
```

---

Record 6
Material: TaSi
Method: DFT, PBE
State: optimized geometry

## Properties
Calculated total energy, eV per atom: -8.964
Theoretical density, g cm⁻³: 11.0

Geometry as CIF:
```
data_TaSi
_chemical_formula_sum 'Ta2 Si2'
_space_group_name_H-M_alt 'P 4/n m m'
_space_group_IT_number 129
_cell_length_a 3.410
_cell_length_b 3.410
_cell_length_c 5.450
_cell_angle_alpha 90.00
_cell_angle_beta 90.00
_cell_angle_gamma 90.00
loop_
_space_group_symop_operation_xyz
'x,y,z'
'-x,-y,-z'
'-y+1/2,x,z'
'y+1/2,-x,-z'
'-x+1/2,-y+1/2,z'
'x+1/2,y+1/2,-z'
'y,-x+1/2,z'
'-y,x+1/2,-z'
'x+1/2,-y,-z'
'-x+1/2,y,z'
'-y,-x,-z'
'y,x,z'
'-x,y+1/2,-z'
'x,-y+1/2,z'
'y+1/2,x+1/2,-z'
'-y+1/2,-x+1/2,z'
loop_
_atom_site_label
_atom_site_type_symbol
_atom_site_fract_x
_atom_site_fract_y
_atom_site_fract_z
_atom_site_occupancy
Ta1 Ta 0.250 0.250 0.141 1
Si1 Si 0.250 0.250 0.631 1
```

---

Record 7
Material: Co2SiRh2
Method: DFT, PBE
State: optimized geometry

## Properties
Calculated total energy, eV per atom: -6.916
Theoretical density, g cm⁻³: 9.1

Geometry as CIF:
```
data_Co2SiRh2
_chemical_formula_sum 'Co4 Si2 Rh4'
_space_group_name_H-M_alt 'P 4/m b m'
_space_group_IT_number 127
_space_group_name_Hall '-P 4 2ab'
_cell_length_a 5.712
_cell_length_b 5.712
_cell_length_c 3.956
_cell_angle_alpha 90.00
_cell_angle_beta 90.00
_cell_angle_gamma 90.00
loop_
_atom_site_label
_atom_site_type_symbol
_atom_site_fract_x
_atom_site_fract_y
_atom_site_fract_z
_atom_site_occupancy
Co1 Co 0.137 0.363 0.000 1
Si1 Si 0.000 0.000 0.000 1
Rh1 Rh 0.166 0.666 0.500 1
```

---

Record 8
Material: NaLaNb2
Method: DFT, PBE
State: optimized geometry

## Properties
Polymorph energy (0 for the lowest one), meV per atom: 80.2
Theoretical density, g cm⁻³: 6.1

Geometry as CIF:
```
data_NaLaNb2
_chemical_formula_sum 'Na4 La4 Nb8'
_space_group_name_H-M_alt 'I -4 2 d'
_space_group_IT_number 122
_space_group_name_Hall 'I -4 2bw'
_cell_length_a 8.107
_cell_length_b 8.107
_cell_length_c 5.784
_cell_angle_alpha 90.00
_cell_angle_beta 90.00
_cell_angle_gamma 90.00
loop_
_atom_site_label
_atom_site_type_symbol
_atom_site_fract_x
_atom_site_fract_y
_atom_site_fract_z
_atom_site_occupancy
Na1 Na 0.000 0.000 0.000 1
La1 La 0.000 0.000 0.500 1
Nb1 Nb 0.244 0.250 0.125 1
```

---

Record 9
Material: NaTh5Se6
Method: DFT, PBE
State: optimized geometry

## Properties
Calculated total energy, eV per atom: -6.468
Theoretical density, g cm⁻³: 8.8

Geometry as CIF:
```
data_NaTh5Se6
_chemical_formula_sum 'Na2 Th10 Se12'
_space_group_name_H-M_alt 'C 1 2/m 1'
_space_group_IT_number 12
_cell_length_a 7.267
_cell_length_b 12.611
_cell_length_c 7.247
_cell_angle_alpha 90.00
_cell_angle_beta 109.49
_cell_angle_gamma 90.00
loop_
_space_group_symop_operation_xyz
'x,y,z'
'-x,-y,-z'
'-x,y,-z'
'x,-y,z'
'x+1/2,y+1/2,z'
'-x+1/2,-y+1/2,-z'
'-x+1/2,y+1/2,-z'
'x+1/2,-y+1/2,z'
loop_
_atom_site_label
_atom_site_type_symbol
_atom_site_fract_x
_atom_site_fract_y
_atom_site_fract_z
_atom_site_occupancy
Na1 Na 0.000 0.000 0.000 1
Th1 Th 0.000 0.171 0.500 1
Th2 Th 0.000 0.333 0.000 1
Th3 Th 0.000 0.500 0.500 1
Se1 Se 0.242 0.000 0.752 1
Se2 Se 0.242 0.161 0.242 1
```

---

Record 10
Material: CdSi2Pd2
Method: DFT, PBE
State: optimized geometry

## Properties
Calculated total energy, eV per atom: -4.601
Theoretical density, g cm⁻³: 7.8

Geometry as CIF:
```
data_CdSi2Pd2
_chemical_formula_sum 'Cd2 Si4 Pd4'
_space_group_name_H-M_alt 'P 4/m b m'
_space_group_IT_number 127
_space_group_name_Hall '-P 4 2ab'
_cell_length_a 7.499
_cell_length_b 7.499
_cell_length_c 2.903
_cell_angle_alpha 90.00
_cell_angle_beta 90.00
_cell_angle_gamma 90.00
loop_
_atom_site_label
_atom_site_type_symbol
_atom_site_fract_x
_atom_site_fract_y
_atom_site_fract_z
_atom_site_occupancy
Cd1 Cd 0.000 0.000 0.000 1
Si1 Si 0.155 0.345 0.500 1
Pd1 Pd 0.137 0.637 0.000 1
```

---

Record 11
Material: CsK2HgAu
Method: DFT, PBE
State: optimized geometry

## Properties
Polymorph energy (0 for the lowest one), meV per atom: 71.7
Theoretical density, g cm⁻³: 4.2

Geometry as CIF:
```
data_CsK2HgAu
_chemical_formula_sum 'Cs1 K2 Hg1 Au1'
_space_group_name_H-M_alt 'P 4/m m m'
_space_group_IT_number 123
_space_group_name_Hall '-P 4 2'
_cell_length_a 6.611
_cell_length_b 6.611
_cell_length_c 5.536
_cell_angle_alpha 90.00
_cell_angle_beta 90.00
_cell_angle_gamma 90.00
loop_
_atom_site_label
_atom_site_type_symbol
_atom_site_fract_x
_atom_site_fract_y
_atom_site_fract_z
_atom_site_occupancy
Cs1 Cs 0.000 0.000 0.000 1
K1 K 0.000 0.500 0.500 1
Hg1 Hg 0.500 0.500 0.500 1
Au1 Au 0.500 0.500 0.000 1
```

---

Record 12
Material: PuSnHgSb
Method: DFT, PBE
State: optimized geometry

## Properties
Polymorph energy (0 for the lowest one), meV per atom: 174.4
Theoretical density, g cm⁻³: 10.5

Geometry as CIF:
```
data_PuSnHgSb
_chemical_formula_sum 'Pu4 Sn4 Hg4 Sb4'
_space_group_name_H-M_alt 'F -4 3 m'
_space_group_IT_number 216
_space_group_name_Hall 'F -4 2 3'
_cell_length_a 7.556
_cell_length_b 7.556
_cell_length_c 7.556
_cell_angle_alpha 90.00
_cell_angle_beta 90.00
_cell_angle_gamma 90.00
loop_
_atom_site_label
_atom_site_type_symbol
_atom_site_fract_x
_atom_site_fract_y
_atom_site_fract_z
_atom_site_occupancy
Pu1 Pu 0.000 0.000 0.000 1
Sn1 Sn 0.000 0.000 0.500 1
Hg1 Hg 0.250 0.250 0.750 1
Sb1 Sb 0.250 0.250 0.250 1
```

---

Record 13
Material: Ba2PmP3Pt12
Method: DFT, PBE
State: optimized geometry

## Properties
Calculated total energy, eV per atom: -5.763
Theoretical density, g cm⁻³: 12.1

Geometry as CIF:
```
data_Ba2PmP3Pt12
_chemical_formula_sum 'Ba6 Pm3 P9 Pt36'
_space_group_name_H-M_alt 'R -3 m'
_space_group_IT_number 166
_space_group_name_Hall '-R 3 2"'
_cell_length_a 8.4402
_cell_length_b 8.4402
_cell_length_c 18.9949
_cell_angle_alpha 90.00
_cell_angle_beta 90.00
_cell_angle_gamma 120.00
loop_
_atom_site_label
_atom_site_type_symbol
_atom_site_fract_x
_atom_site_fract_y
_atom_site_fract_z
_atom_site_occupancy
Ba1 Ba 0.0000 0.0000 0.1019 1
Pm1 Pm 0.0000 0.0000 0.5000 1
P1 P 0.0000 0.5000 0.0000 1
Pt1 Pt 0.0218 0.5109 0.8794 1
Pt2 Pt 0.0520 0.5260 0.3557 1
```

---

Record 14
Material: Ac3Zn4Ag2
Method: DFT, PBE
State: optimized geometry

## Properties
Calculated total energy, eV per atom: -2.873
Theoretical density, g cm⁻³: 8.2

Geometry as CIF:
```
data_Ac3Zn4Ag2
_chemical_formula_sum 'Ac6 Zn8 Ag4'
_space_group_name_H-M_alt 'C 1 2/m 1'
_space_group_IT_number 12
_cell_length_a 11.496
_cell_length_b 4.735
_cell_length_c 9.182
_cell_angle_alpha 90.00
_cell_angle_beta 110.60
_cell_angle_gamma 90.00
loop_
_space_group_symop_operation_xyz
'x,y,z'
'-x,-y,-z'
'-x,y,-z'
'x,-y,z'
'x+1/2,y+1/2,z'
'-x+1/2,-y+1/2,-z'
'-x+1/2,y+1/2,-z'
'x+1/2,-y+1/2,z'
loop_
_atom_site_label
_atom_site_type_symbol
_atom_site_fract_x
_atom_site_fract_y
_atom_site_fract_z
_atom_site_occupancy
Ac1 Ac 0.000 0.000 0.000 1
Ac2 Ac 0.169 0.500 0.668 1
Zn1 Zn 0.049 0.000 0.387 1
Zn2 Zn 0.227 0.500 0.056 1
Ag1 Ag 0.111 0.500 0.277 1
```

---

Record 15
Material: Sc4Hg3Pb
Method: DFT, PBE
State: optimized geometry

## Properties
Calculated total energy, eV per atom: -4.145
Theoretical density, g cm⁻³: 9.1

Geometry as CIF:
```
data_Sc4Hg3Pb
_chemical_formula_sum 'Sc12 Hg9 Pb3'
_space_group_name_H-M_alt 'R -3 m'
_space_group_IT_number 166
_space_group_name_Hall '-R 3 2"'
_cell_length_a 5.0177
_cell_length_b 5.0177
_cell_length_c 24.7327
_cell_angle_alpha 90.00
_cell_angle_beta 90.00
_cell_angle_gamma 120.00
loop_
_atom_site_label
_atom_site_type_symbol
_atom_site_fract_x
_atom_site_fract_y
_atom_site_fract_z
_atom_site_occupancy
Sc1 Sc 0.0000 0.0000 0.1232 1
Sc2 Sc 0.0000 0.0000 0.3738 1
Hg1 Hg 0.0000 0.0000 0.0000 1
Hg2 Hg 0.0000 0.0000 0.2539 1
Pb1 Pb 0.0000 0.0000 0.5000 1
```

---

Record 16
Material: CeTlPb
Method: DFT, PBE
State: optimized geometry

## Properties
Polymorph energy (0 for the lowest one), meV per atom: 94.1
Theoretical density, g cm⁻³: 10.2

Geometry as CIF:
```
data_CeTlPb
_chemical_formula_sum 'Ce2 Tl2 Pb2'
_space_group_name_H-M_alt 'P -3 m 1'
_space_group_IT_number 164
_space_group_name_Hall '-P 3 2"'
_cell_length_a 5.2563
_cell_length_b 5.2563
_cell_length_c 7.4990
_cell_angle_alpha 90.00
_cell_angle_beta 90.00
_cell_angle_gamma 120.00
loop_
_atom_site_label
_atom_site_type_symbol
_atom_site_fract_x
_atom_site_fract_y
_atom_site_fract_z
_atom_site_occupancy
Ce1 Ce 0.0000 0.0000 0.2485 1
Tl1 Tl 0.3333 0.6667 0.4372 1
Pb1 Pb 0.3333 0.6667 0.9428 1
```

---

Record 17
Material: Y2NbPbN
Method: DFT, PBE
State: optimized geometry

## Properties
Calculated total energy, eV per atom: -7.733
Theoretical density, g cm⁻³: 7.8

Geometry as CIF:
```
data_Y2NbPbN
_chemical_formula_sum 'Y2 Nb1 Pb1 N1'
_space_group_name_H-M_alt 'P 4/m m m'
_space_group_IT_number 123
_space_group_name_Hall '-P 4 2'
_cell_length_a 4.971
_cell_length_b 4.971
_cell_length_c 4.212
_cell_angle_alpha 90.00
_cell_angle_beta 90.00
_cell_angle_gamma 90.00
loop_
_atom_site_label
_atom_site_type_symbol
_atom_site_fract_x
_atom_site_fract_y
_atom_site_fract_z
_atom_site_occupancy
Y1 Y 0.000 0.500 0.000 1
Nb1 Nb 0.000 0.000 0.500 1
Pb1 Pb 0.500 0.500 0.500 1
N1 N 0.000 0.000 0.000 1
```

---

Record 18
Material: Pm4TePSe2
Method: DFT, PBE
State: optimized geometry

## Properties
Calculated total energy, eV per atom: -6.011
Theoretical density, g cm⁻³: 6.8

Geometry as CIF:
```
data_Pm4TePSe2
_chemical_formula_sum 'Pm4 Te1 P1 Se2'
_space_group_name_H-M_alt 'P 1 2/m 1'
_space_group_IT_number 10
_cell_length_a 7.298
_cell_length_b 4.216
_cell_length_c 7.510
_cell_angle_alpha 90.00
_cell_angle_beta 109.03
_cell_angle_gamma 90.00
loop_
_space_group_symop_operation_xyz
'x,y,z'
'-x,-y,-z'
'-x,y,-z'
'x,-y,z'
loop_
_atom_site_label
_atom_site_type_symbol
_atom_site_fract_x
_atom_site_fract_y
_atom_site_fract_z
_atom_site_occupancy
Pm1 Pm 0.238 0.000 0.224 1
Pm2 Pm 0.255 0.500 0.779 1
Te1 Te 0.000 0.000 0.500 1
P1 P 0.000 0.500 0.000 1
Se1 Se 0.500 0.000 0.000 1
Se2 Se 0.500 0.500 0.500 1
```

---

Record 19
Material: ReSn3P
Method: DFT, PBE
State: optimized geometry

## Properties
Polymorph energy (0 for the lowest one), meV per atom: 695.7
Theoretical density, g cm⁻³: 7.4

Geometry as CIF:
```
data_ReSn3P
_chemical_formula_sum 'Re1 Sn3 P1'
_space_group_name_H-M_alt 'P m -3 m'
_space_group_IT_number 221
_space_group_name_Hall '-P 4 2 3'
_cell_length_a 5.047
_cell_length_b 5.047
_cell_length_c 5.047
_cell_angle_alpha 90.00
_cell_angle_beta 90.00
_cell_angle_gamma 90.00
loop_
_atom_site_label
_atom_site_type_symbol
_atom_site_fract_x
_atom_site_fract_y
_atom_site_fract_z
_atom_site_occupancy
Re1 Re 0.000 0.000 0.000 1
Sn1 Sn 0.000 0.500 0.500 1
P1 P 0.500 0.500 0.500 1
```

---

Record 20
Material: TiBe2Rh
Method: DFT, PBE
State: optimized geometry

## Properties
Calculated total energy, eV per atom: -6.082
Theoretical density, g cm⁻³: 5.9

Geometry as CIF:
```
data_TiBe2Rh
_chemical_formula_sum 'Ti1 Be2 Rh1'
_space_group_name_H-M_alt 'P 4/m m m'
_space_group_IT_number 123
_space_group_name_Hall '-P 4 2'
_cell_length_a 2.833
_cell_length_b 2.833
_cell_length_c 5.882
_cell_angle_alpha 90.00
_cell_angle_beta 90.00
_cell_angle_gamma 90.00
loop_
_atom_site_label
_atom_site_type_symbol
_atom_site_fract_x
_atom_site_fract_y
_atom_site_fract_z
_atom_site_occupancy
Ti1 Ti 0.000 0.000 0.000 1
Be1 Be 0.500 0.500 0.294 1
Rh1 Rh 0.000 0.000 0.500 1
```